1.
# SrFeAs2 (GGA-PBE, relaxed)
data_SrFeAs2
_chemical_formula_sum 'Sr1 Fe1 As2'
_symmetry_space_group_name_H-M 'P m m m'
_symmetry_Int_Tables_number 47
_cell_length_a 4.088
_cell_length_b 4.565
_cell_length_c 4.582
_cell_angle_alpha 90.00
_cell_angle_beta 90.00
_cell_angle_gamma 90.00
loop_
_symmetry_equiv_pos_as_xyz
'x,y,z'
'-x,-y,-z'
'-x,-y,z'
'x,y,-z'
'x,-y,-z'
'-x,y,z'
'-x,y,-z'
'x,-y,z'
loop_
_atom_site_label
_atom_site_type_symbol
_atom_site_fract_x
_atom_site_fract_y
_atom_site_fract_z
Sr1 Sr 0.000 0.000 0.000
Fe1 Fe 0.000 0.500 0.500
As1 As 0.500 0.000 0.500
As2 As 0.500 0.500 0.000
# final energy: -4.83 eV/atom

---

2.
# MgTcCl6 (GGA-PBE, relaxed)
data_MgTcCl6
_chemical_formula_sum 'Mg2 Tc2 Cl12'
_symmetry_space_group_name_H-M 'C 1 2/m 1'
_symmetry_Int_Tables_number 12
_cell_length_a 6.141
_cell_length_b 12.436
_cell_length_c 6.138
_cell_angle_alpha 90.00
_cell_angle_beta 109.16
_cell_angle_gamma 90.00
loop_
_symmetry_equiv_pos_as_xyz
'x,y,z'
'-x,-y,-z'
'-x,y,-z'
'x,-y,z'
'x+1/2,y+1/2,z'
'-x+1/2,-y+1/2,-z'
'-x+1/2,y+1/2,-z'
'x+1/2,-y+1/2,z'
loop_
_atom_site_label
_atom_site_type_symbol
_atom_site_fract_x
_atom_site_fract_y
_atom_site_fract_z
Mg1 Mg 0.000 0.000 0.000
Tc1 Tc 0.000 0.500 0.500
Cl1 Cl 0.235 0.500 0.265
Cl2 Cl 0.241 0.366 0.742
# final energy: -3.95 eV/atom
# raw formation energy: -8.55 eV/f.u.

---

3.
# ZrTaAu (GGA-PBE, relaxed)
data_ZrTaAu
_chemical_formula_sum 'Zr4 Ta4 Au4'
_symmetry_space_group_name_H-M 'C 1 2/m 1'
_symmetry_Int_Tables_number 12
_cell_length_a 9.819
_cell_length_b 4.433
_cell_length_c 5.934
_cell_angle_alpha 90.00
_cell_angle_beta 116.74
_cell_angle_gamma 90.00
loop_
_symmetry_equiv_pos_as_xyz
'x,y,z'
'-x,-y,-z'
'-x,y,-z'
'x,-y,z'
'x+1/2,y+1/2,z'
'-x+1/2,-y+1/2,-z'
'-x+1/2,y+1/2,-z'
'x+1/2,-y+1/2,z'
loop_
_atom_site_label
_atom_site_type_symbol
_atom_site_fract_x
_atom_site_fract_y
_atom_site_fract_z
Zr1 Zr 0.000 0.000 0.000
Zr2 Zr 0.000 0.000 0.500
Ta1 Ta 0.181 0.500 0.355
Au1 Au 0.162 0.500 0.846
# final energy: -8.03 eV/atom
# excess energy over the best structure of this formula in the dataset: 0.172 eV/atom

---

4.
# CaTc2Rh2 (GGA-PBE, relaxed)
data_CaTc2Rh2
_chemical_formula_sum 'Ca2 Tc4 Rh4'
_symmetry_space_group_name_H-M 'P 4/m b m'
_symmetry_Int_Tables_number 127
_symmetry_space_group_name_Hall '-P 4 2ab'
_cell_length_a 7.776
_cell_length_b 7.776
_cell_length_c 2.760
_cell_angle_alpha 90.00
_cell_angle_beta 90.00
_cell_angle_gamma 90.00
loop_
_atom_site_label
_atom_site_type_symbol
_atom_site_fract_x
_atom_site_fract_y
_atom_site_fract_z
Ca1 Ca 0.000 0.000 0.000
Tc1 Tc 0.116 0.384 0.000
Rh1 Rh 0.173 0.673 0.500
# final energy: -7.49 eV/atom
# excess energy over the best structure of this formula in the dataset: 0.000 eV/atom

---

5.
# CaCd2Ag9 (GGA-PBE, relaxed)
data_CaCd2Ag9
_chemical_formula_sum 'Ca3 Cd6 Ag27'
_symmetry_space_group_name_H-M 'R -3 m'
_symmetry_Int_Tables_number 166
_symmetry_space_group_name_Hall '-R 3 2"'
_cell_length_a 5.6388
_cell_length_b 5.6388
_cell_length_c 27.1350
_cell_angle_alpha 90.00
_cell_angle_beta 90.00
_cell_angle_gamma 120.00
loop_
_atom_site_label
_atom_site_type_symbol
_atom_site_fract_x
_atom_site_fract_y
_atom_site_fract_z
Ca1 Ca 0.0000 0.0000 0.0000
Cd1 Cd 0.0000 0.0000 0.1445
Ag1 Ag 0.0000 0.0000 0.3338
Ag2 Ag 0.0000 0.0000 0.5000
Ag3 Ag 0.0048 0.5024 0.9142
# final energy: -2.51 eV/atom
# excess energy over the best structure of this formula in the dataset: 0.007 eV/atom

---

Look up the final energy of the fourth one.
-7.49 eV/atom